1.
BaYAl2 | GGA-PBE | relaxed

```
data_BaYAl2
_space_group_name_H-M_alt 'F m -3 m'
_space_group_IT_number 225
_space_group_name_Hall '-F 4 2 3'
_cell_length_a 7.727
_cell_length_b 7.727
_cell_length_c 7.727
_cell_angle_alpha 90.00
_cell_angle_beta 90.00
_cell_angle_gamma 90.00
loop_
_atom_site_label
_atom_site_type_symbol
_atom_site_fract_x
_atom_site_fract_y
_atom_site_fract_z
Ba1 Ba 0.000 0.000 0.000
Y1 Y 0.000 0.000 0.500
Al1 Al 0.250 0.250 0.250
```



2.
PmGdTlRu | GGA-PBE | relaxed

```
data_PmGdTlRu
_space_group_name_H-M_alt 'F -4 3 m'
_space_group_IT_number 216
_space_group_name_Hall 'F -4 2 3'
_cell_length_a 7.316
_cell_length_b 7.316
_cell_length_c 7.316
_cell_angle_alpha 90.00
_cell_angle_beta 90.00
_cell_angle_gamma 90.00
loop_
_atom_site_label
_atom_site_type_symbol
_atom_site_fract_x
_atom_site_fract_y
_atom_site_fract_z
Pm1 Pm 0.000 0.000 0.000
Gd1 Gd 0.000 0.000 0.500
Tl1 Tl 0.250 0.250 0.750
Ru1 Ru 0.250 0.250 0.250
```



3.
SrBi4Rh | GGA-PBE | relaxed

```
data_SrBi4Rh
_space_group_name_H-M_alt 'P -1'
_space_group_IT_number 2
_space_group_name_Hall '-P 1'
_cell_length_a 4.992
_cell_length_b 8.586
_cell_length_c 9.151
_cell_angle_alpha 100.06
_cell_angle_beta 91.74
_cell_angle_gamma 102.82
loop_
_atom_site_label
_atom_site_type_symbol
_atom_site_fract_x
_atom_site_fract_y
_atom_site_fract_z
Sr1 Sr 0.128 0.262 0.485
Bi1 Bi 0.058 0.170 0.921
Bi2 Bi 0.292 0.572 0.264
Bi3 Bi 0.333 0.680 0.820
Bi4 Bi 0.498 0.032 0.693
Rh1 Rh 0.000 0.500 0.000
Rh2 Rh 0.500 0.000 0.000
```



E_form
In order: -0.068; -0.195; -0.262
Unit: eV per atom